The following is a PBE calculation of an optimized crystal structure of TlAg3PdO4, from the Open Quantum Materials Database.

Structure (CIF):
```
data_TlAg3PdO4
_chemical_formula_sum 'Tl1 Ag3 Pd1 O4'
_cell_length_a 5.3066
_cell_length_b 5.3066
_cell_length_c 5.3066
_cell_angle_alpha 90.00
_cell_angle_beta 90.00
_cell_angle_gamma 90.00
_symmetry_space_group_name_H-M 'P 1'
_symmetry_Int_Tables_number 1
loop_
_symmetry_equiv_pos_as_xyz
'x,y,z'
loop_
_atom_site_label
_atom_site_fract_x
_atom_site_fract_y
_atom_site_fract_z
Ag1 0.5000 0.5000 0.0000
Ag2 0.0000 0.5000 0.5000
Ag3 0.5000 0.0000 0.5000
O1 0.2390 0.2390 0.2390
O2 0.7610 0.2390 0.7610
O3 0.2390 0.7610 0.7610
O4 0.7610 0.7610 0.2390
Pd1 0.5000 0.5000 0.5000
Tl1 0.0000 0.0000 0.0000
```

Results
The energy comes out at -3.86 eV/atom. Its crystal system is cubic. As for the space-group type: P-43m (215).